1.
AcLaGaSi: optimized geometry, PBE-GGA.

Values from the calculation:
- density of states at the Fermi level (states/eV per cell) = 3.2
- offset from the most stable computed form (eV/f.u.) = 0.00
- symmetry = Amm2 (38)
- formation energy from raw total energies (eV per atom) = -0.626

Cell lengths 4.621, 4.174, 6.313 Å; angles 90.00, 111.47, 90.00 degrees
Sites, in units of the cell vectors:
1 Ga 0.461 0.500 0.923
2 La 0.031 0.000 0.062
3 Si 0.329 0.000 0.657
4 Ac 0.748 0.500 0.497

2.
AcLaGaSn: optimized geometry, PBE-GGA.

Values from the calculation:
- density of states at the Fermi level (states/eV per cell) = 3.5
- offset from the most stable computed form (eV/f.u.) = 0.00
- E_form (eV/atom) = -0.6770
- symmetry = Amm2 (38)

Cell lengths 4.797, 4.383, 6.513 Å; angles 90.00, 111.61, 90.00 degrees
Sites, in units of the cell vectors:
1 Ga 0.424 0.000 0.848
2 Sn 0.575 0.500 0.149
3 La 0.142 0.000 0.284
4 Ac 0.860 0.500 0.719

3.
AcLaGaSn: optimized geometry, PBE-GGA.

Values from the calculation:
- density of states at the Fermi level (states/eV per cell) = 2.1
- offset from the most stable computed form (eV/f.u.) = 0.50
- E_form (eV/atom) = -0.5516
- symmetry = F-43m (216)

Cell lengths 5.587, 5.587, 5.587 Å; angles 60.00, 60.00, 60.00 degrees
Sites, in units of the cell vectors:
1 Ac 0.000 0.000 0.000
2 Ga 0.750 0.750 0.750
3 La 0.500 0.500 0.500
4 Sn 0.250 0.250 0.250

4.
AcLa2Ga2Sn2: optimized geometry, PBE-GGA.

Values from the calculation:
- density of states at the Fermi level (states/eV per cell) = 4.2
- E_form (eV/atom) = -0.4609
- symmetry = R-3m (166)

Cell lengths 4.759, 4.759, 11.015 Å; angles 77.52, 77.52, 60.00 degrees
Sites, in units of the cell vectors:
1 Sn 0.268 0.268 0.195
2 Sn 0.732 0.732 0.805
3 Ga 0.420 0.420 0.739
4 Ga 0.580 0.580 0.261
5 Ac 0.000 0.000 0.000
6 La 0.130 0.130 0.610
7 La 0.870 0.870 0.390

5.
Ac3La3Tl2Ga: optimized geometry, PBE-GGA.

Values from the calculation:
- density of states at the Fermi level (states/eV per cell) = 12.0
- E_form (eV/atom) = -0.2820
- symmetry = P-62m (189)

Cell lengths 4.066, 9.435, 9.435 Å; angles 120.00, 90.00, 90.00 degrees
Sites, in units of the cell vectors:
1 Tl 0.500 0.333 0.667
2 Tl 0.500 0.667 0.333
3 La 0.000 0.396 0.000
4 La 0.000 0.604 0.604
5 La 0.000 0.000 0.396
6 Ac 0.500 0.265 0.265
7 Ac 0.500 0.735 0.000
8 Ac 0.500 0.000 0.735
9 Ga 0.000 0.000 0.000

6.
AcLaTmGa: optimized geometry, PBE-GGA.

Values from the calculation:
- density of states at the Fermi level (states/eV per cell) = 6.4
- E_form (eV/atom) = 0.0231
- symmetry = F-43m (216)

Cell lengths 5.567, 5.567, 5.567 Å; angles 60.00, 60.00, 60.00 degrees
Sites, in units of the cell vectors:
1 Ga 0.250 0.250 0.250
2 Tm 0.000 0.000 0.000
3 Ac 0.750 0.750 0.750
4 La 0.500 0.500 0.500

7.
AcLaYGa: optimized geometry, PBE-GGA.

Values from the calculation:
- density of states at the Fermi level (states/eV per cell) = 6.9
- E_form (eV/atom) = -0.0013
- symmetry = F-43m (216)

Cell lengths 5.598, 5.598, 5.598 Å; angles 60.00, 60.00, 60.00 degrees
Sites, in units of the cell vectors:
1 La 0.250 0.250 0.250
2 Ga 0.000 0.000 0.000
3 Ac 0.500 0.500 0.500
4 Y 0.750 0.750 0.750

8.
AcLaZnGa: optimized geometry, PBE-GGA.

Values from the calculation:
- density of states at the Fermi level (states/eV per cell) = 4.4
- E_form (eV/atom) = -0.3916
- symmetry = F-43m (216)

Cell lengths 5.433, 5.433, 5.433 Å; angles 60.00, 60.00, 60.00 degrees
Sites, in units of the cell vectors:
1 Ga 0.500 0.500 0.500
2 Ac 0.250 0.250 0.250
3 Zn 0.000 0.000 0.000
4 La 0.750 0.750 0.750

9.
AcLa2Zn2Ga2: optimized geometry, PBE-GGA.

Values from the calculation:
- density of states at the Fermi level (states/eV per cell) = 3.9
- E_form (eV/atom) = -0.4199
- symmetry = R-3m (166)

Cell lengths 4.512, 4.512, 10.284 Å; angles 77.33, 77.33, 60.00 degrees
Sites, in units of the cell vectors:
1 La 0.139 0.139 0.584
2 La 0.861 0.861 0.416
3 Zn 0.410 0.410 0.770
4 Zn 0.590 0.590 0.230
5 Ga 0.257 0.257 0.228
6 Ga 0.743 0.743 0.772
7 Ac 0.000 0.000 0.000

10.
Li6AcGa12: optimized geometry, PBE-GGA.

Values from the calculation:
- density of states at the Fermi level (states/eV per cell) = 6.9
- E_form (eV/atom) = -0.1749
- symmetry = R-3m (166)

Cell lengths 7.299, 7.299, 7.299 Å; angles 101.94, 101.94, 101.94 degrees
Sites, in units of the cell vectors:
1 Ga 0.881 0.608 0.608
2 Ga 0.119 0.392 0.392
3 Ga 0.392 0.392 0.119
4 Ga 0.889 0.111 0.500
5 Ga 0.608 0.608 0.881
6 Ga 0.500 0.111 0.889
7 Ga 0.111 0.500 0.889
8 Ga 0.608 0.881 0.608
9 Ga 0.111 0.889 0.500
10 Ga 0.500 0.889 0.111
11 Ga 0.392 0.119 0.392
12 Ga 0.889 0.500 0.111
13 Li 0.292 0.292 0.704
14 Li 0.296 0.708 0.708
15 Li 0.708 0.708 0.296
16 Li 0.708 0.296 0.708
17 Li 0.704 0.292 0.292
18 Li 0.292 0.704 0.292
19 Ac 0.000 0.000 0.000

11.
Li4AcGa: optimized geometry, PBE-GGA.

Values from the calculation:
- density of states at the Fermi level (states/eV per cell) = 1.2
- offset from the most stable computed form (eV/f.u.) = 0.00
- E_form (eV/atom) = -0.0907
- symmetry = F-43m (216)

Cell lengths 5.652, 5.652, 5.652 Å; angles 60.00, 60.00, 60.00 degrees
Sites, in units of the cell vectors:
1 Li 0.117 0.628 0.628
2 Li 0.628 0.117 0.628
3 Li 0.628 0.628 0.117
4 Li 0.628 0.628 0.628
5 Ac 0.250 0.250 0.250
6 Ga 0.000 0.000 0.000

12.
Li5Ac2Ga3: optimized geometry, PBE-GGA.

Values from the calculation:
- density of states at the Fermi level (states/eV per cell) = 6.6
- E_form (eV/atom) = -0.2346
- symmetry = P-4m2 (115)

Cell lengths 4.511, 4.511, 11.994 Å; angles 90.00, 90.00, 90.00 degrees
Sites, in units of the cell vectors:
1 Li 0.500 0.500 0.500
2 Li 0.500 0.000 0.847
3 Li 0.500 0.500 0.000
4 Li 0.000 0.000 0.000
5 Li 0.000 0.500 0.153
6 Ac 0.000 0.500 0.707
7 Ac 0.500 0.000 0.293
8 Ga 0.000 0.500 0.376
9 Ga 0.000 0.000 0.500
10 Ga 0.500 0.000 0.624

13.
LiAc6Ga2: optimized geometry, PBE-GGA.

Values from the calculation:
- density of states at the Fermi level (states/eV per cell) = 21.1
- E_form (eV/atom) = -0.1125
- symmetry = P2_1/c (14)

Cell lengths 7.085, 8.979, 10.283 Å; angles 90.00, 83.23, 90.00 degrees
Sites, in units of the cell vectors:
1 Ac 0.155 0.050 0.775
2 Ac 0.608 0.193 0.568
3 Ac 0.108 0.307 0.068
4 Ac 0.357 0.843 0.059
5 Ac 0.655 0.450 0.275
6 Ac 0.345 0.550 0.725
7 Ac 0.643 0.157 0.941
8 Ac 0.143 0.343 0.441
9 Ac 0.857 0.657 0.559
10 Ac 0.892 0.693 0.932
11 Ac 0.845 0.950 0.225
12 Ac 0.392 0.807 0.432
13 Ga 0.922 0.376 0.758
14 Ga 0.422 0.124 0.258
15 Ga 0.078 0.624 0.242
16 Ga 0.578 0.876 0.742
17 Li 0.000 0.000 0.500
18 Li 0.500 0.500 0.000

14.
LiAc12Ga6: optimized geometry, PBE-GGA.

Values from the calculation:
- density of states at the Fermi level (states/eV per cell) = 21.9
- E_form (eV/atom) = -0.1281
- symmetry = R-3 (148)

Cell lengths 9.696, 9.696, 9.696 Å; angles 108.62, 108.62, 108.62 degrees
Sites, in units of the cell vectors:
1 Ac 0.693 0.995 0.150
2 Ac 0.995 0.150 0.693
3 Ac 0.614 0.530 0.852
4 Ac 0.150 0.693 0.995
5 Ac 0.307 0.005 0.850
6 Ac 0.005 0.850 0.307
7 Ac 0.470 0.148 0.386
8 Ac 0.850 0.307 0.005
9 Ac 0.530 0.852 0.614
10 Ac 0.386 0.470 0.148
11 Ac 0.148 0.386 0.470
12 Ac 0.852 0.614 0.530
13 Ga 0.819 0.374 0.695
14 Ga 0.695 0.819 0.374
15 Ga 0.626 0.305 0.181
16 Ga 0.305 0.181 0.626
17 Ga 0.181 0.626 0.305
18 Ga 0.374 0.695 0.819
19 Li 0.000 0.000 0.000

15.
LiAc2Ga: optimized geometry, PBE-GGA.

Values from the calculation:
- density of states at the Fermi level (states/eV per cell) = 3.4
- offset from the most stable computed form (eV/f.u.) = 0.00
- E_form (eV/atom) = -0.2243
- symmetry = Fm-3m (225)

Cell lengths 5.592, 5.592, 5.592 Å; angles 60.00, 60.00, 60.00 degrees
Sites, in units of the cell vectors:
1 Ac 0.250 0.250 0.250
2 Ac 0.750 0.750 0.750
3 Li 0.500 0.500 0.500
4 Ga 0.000 0.000 0.000

16.
Li4Ac5Ga4: optimized geometry, PBE-GGA.

Values from the calculation:
- density of states at the Fermi level (states/eV per cell) = 8.0
- E_form (eV/atom) = -0.3039
- symmetry = I4/m (87)

Cell lengths 4.778, 9.090, 9.090 Å; angles 86.04, 74.76, 74.76 degrees
Sites, in units of the cell vectors:
1 Ac 0.715 0.914 0.655
2 Ac 0.000 0.000 0.000
3 Ac 0.285 0.086 0.345
4 Ac 0.629 0.655 0.086
5 Ac 0.371 0.345 0.914
6 Li 0.571 0.333 0.526
7 Li 0.429 0.667 0.474
8 Li 0.097 0.474 0.333
9 Li 0.903 0.526 0.667
10 Ga 0.739 0.314 0.208
11 Ga 0.947 0.792 0.314
12 Ga 0.261 0.686 0.792
13 Ga 0.053 0.208 0.686

17.
Li2AcGa4: optimized geometry, PBE-GGA.

Values from the calculation:
- density of states at the Fermi level (states/eV per cell) = 2.5
- E_form (eV/atom) = -0.3712
- symmetry = I4/mmm (139)

Cell lengths 5.152, 5.851, 5.851 Å; angles 78.82, 63.88, 63.88 degrees
Sites, in units of the cell vectors:
1 Ga 0.307 0.385 0.000
2 Ga 0.307 0.000 0.385
3 Ga 0.693 0.615 0.000
4 Ga 0.693 0.000 0.615
5 Li 0.250 0.500 0.500
6 Li 0.750 0.500 0.500
7 Ac 0.000 0.000 0.000

18.
LiAc2Ga2: optimized geometry, PBE-GGA.

Values from the calculation:
- density of states at the Fermi level (states/eV per cell) = 7.8
- E_form (eV/atom) = -0.3988
- symmetry = C2/m (12)

Cell lengths 4.917, 6.098, 10.470 Å; angles 83.25, 76.42, 66.23 degrees
Sites, in units of the cell vectors:
1 Ac 0.308 0.715 0.669
2 Ac 0.692 0.285 0.331
3 Ac 0.089 0.715 0.106
4 Ac 0.911 0.285 0.894
5 Ga 0.930 0.704 0.435
6 Ga 0.070 0.296 0.565
7 Ga 0.381 0.127 0.111
8 Ga 0.619 0.873 0.889
9 Li 0.367 0.905 0.361
10 Li 0.633 0.095 0.639

19.
Li8AcGa4: optimized geometry, PBE-GGA.

Values from the calculation:
- density of states at the Fermi level (states/eV per cell) = 3.8
- E_form (eV/atom) = -0.2584
- symmetry = I4/mmm (139)

Cell lengths 5.519, 7.191, 7.191 Å; angles 81.53, 67.43, 67.43 degrees
Sites, in units of the cell vectors:
1 Ga 0.000 0.000 0.500
2 Ga 0.500 0.500 0.000
3 Ga 0.500 0.000 0.500
4 Ga 0.000 0.500 0.000
5 Li 0.348 0.652 0.652
6 Li 0.500 0.769 0.231
7 Li 0.000 0.348 0.652
8 Li 0.269 0.231 0.231
9 Li 0.000 0.652 0.348
10 Li 0.652 0.348 0.348
11 Li 0.731 0.769 0.769
12 Li 0.500 0.231 0.769
13 Ac 0.000 0.000 0.000

20.
LiAcGa2: optimized geometry, PBE-GGA.

Values from the calculation:
- density of states at the Fermi level (states/eV per cell) = 3.3
- E_form (eV/atom) = -0.2222
- symmetry = P4/mmm (123)

Cell lengths 4.009, 5.124, 5.124 Å; angles 90.00, 90.00, 90.00 degrees
Sites, in units of the cell vectors:
1 Ga 0.000 0.000 0.500
2 Ga 0.000 0.500 0.000
3 Ac 0.500 0.500 0.500
4 Li 0.500 0.000 0.000